Ce2SmScTl4: optimized geometry, PBE-GGA.

## Properties
- Crystal system: trigonal
- Electronic total energy: -0.3164 Ry/atom
- Energy relative to the elements: -0.2568 eV per atom
- Space-group type: No. 166

Unit cell a=9.4265 b=9.4265 c=9.4265 alpha=33.27 beta=33.27 gamma=33.27
With the nearest neighbours (Å) after each atom.
Element x y z (fractional)
1 Ce 0.2473 0.2473 0.2473  8 Tl 3.23-3.46
2 Ce 0.7527 0.7527 0.7527  8 Tl 3.23-3.46
3 Sm 0.0000 0.0000 0.0000  8 Tl 3.32-3.37
4 Sc 0.5000 0.5000 0.5000  8 Tl 3.29-3.30
5 Tl 0.1263 0.1263 0.1263  4 Ce 3.23-3.30, 3 Sc 3.30, 1 Sm 3.37
6 Tl 0.3767 0.3767 0.3767  1 Sc 3.29, 4 Ce 3.32-3.46, 3 Sm 3.32
7 Tl 0.6233 0.6233 0.6233  1 Sc 3.29, 4 Ce 3.32-3.46, 3 Sm 3.32
8 Tl 0.8737 0.8737 0.8737  4 Ce 3.23-3.30, 3 Sc 3.30, 1 Sm 3.37

***

NdCuSn: optimized geometry, PBE-GGA.

## Properties
- Crystal system: tetragonal
- Electronic total energy: -0.3582 Ry/atom
- Energy relative to the elements: -0.5848 eV per atom
- Space-group type: No. 129

Unit cell a=4.5593 b=4.5593 c=6.9194 alpha=90.00 beta=90.00 gamma=90.00
With the nearest neighbours (Å) after each atom.
Element x y z (fractional)
1 Nd 0.2500 0.2500 0.2072  4 Cu 3.05, 5 Sn 3.26-3.34
2 Nd 0.7500 0.7500 0.7928  4 Cu 3.05, 5 Sn 3.26-3.34
3 Cu 0.2500 0.7500 0.5000  4 Sn 2.76, 4 Nd 3.05
4 Cu 0.7500 0.2500 0.5000  4 Sn 2.76, 4 Nd 3.05
5 Sn 0.2500 0.2500 0.7252  4 Cu 2.76
6 Sn 0.7500 0.7500 0.2748  4 Cu 2.76

***

VPt3W: optimized geometry, PBE-GGA.

## Properties
- Crystal system: cubic
- Electronic total energy: -0.5055 Ry/atom
- Energy relative to the elements: 1.1612 eV per atom
- Space-group type: No. 221

Unit cell a=4.8187 b=4.8187 c=4.8187 alpha=90.00 beta=90.00 gamma=90.00
With the nearest neighbours (Å) after each atom.
Element x y z (fractional)
1 V 0.0000 0.0000 0.0000  12 Pt 3.41
2 Pt 0.0000 0.5000 0.5000  2 W 2.41
3 Pt 0.5000 0.0000 0.5000  2 W 2.41
4 Pt 0.5000 0.5000 0.0000  2 W 2.41
5 W 0.5000 0.5000 0.5000  6 Pt 2.41

***

HfHgRh: optimized geometry, PBE-GGA.

## Properties
- Crystal system: orthorhombic
- Electronic total energy: -0.4655 Ry/atom
- Energy relative to the elements: -0.4647 eV per atom
- Space-group type: No. 63

Unit cell a=7.7588 b=7.7588 c=4.7098 alpha=90.00 beta=90.00 gamma=156.19
With the nearest neighbours (Å) after each atom.
Element x y z (fractional)
1 Hf 0.0833 0.9167 0.7500  6 Rh 2.68-2.87
2 Hf 0.9167 0.0833 0.2500  6 Rh 2.68-2.87
3 Hg 0.2206 0.7794 0.2500  2 Rh 2.93, 6 Hg 2.98-3.20, 2 Hf 3.14
4 Hg 0.7794 0.2206 0.7500  2 Rh 2.93, 6 Hg 2.98-3.20, 2 Hf 3.14
5 Rh 0.4414 0.5586 0.7500  6 Hf 2.68-2.87, 2 Hg 2.93, 2 Rh 2.95
6 Rh 0.5586 0.4414 0.2500  6 Hf 2.68-2.87, 2 Hg 2.93, 2 Rh 2.95

***

- Which of these has the lowest energy relative to the elements?
  NdCuSn